## Pu2PtPb (PBE)

Data for a relaxed structure of Pu2PtPb.

The space group is R3m (No. 160, hexagonal axes) and the conventional cell measures 3.8803, 3.8803 and 25.6760 Å, with angles of 90.00, 90.00 and 120.00 degrees. The asymmetric unit holds Pu at (0.0000, 0.0000, 0.0000), Pu at (0.0000, 0.0000, 0.1415), Pt at (0.0000, 0.0000, 0.7383) and Pb at (0.0000, 0.0000, 0.5706).

The total energy comes out at -118.93 eV per cell. The formation energy comes out at -0.3073 eV/atom. The value obtained for the size of the total moment is 11.5 μB/f.u.



## Pu3Pt8Pb (PBE)

Data for a relaxed structure of Pu3Pt8Pb.

The space group is R3m (No. 160, hexagonal axes) and the conventional cell measures 5.4630, 5.4630 and 26.7058 Å, with angles of 90.00, 90.00 and 120.00 degrees. The asymmetric unit holds Pu at (0.0000, 0.0000, 0.0000), Pu at (0.0000, 0.0000, 0.1260), Pu at (0.0000, 0.0000, 0.6221), Pt at (0.0000, 0.0000, 0.3117), Pt at (0.0000, 0.0000, 0.8118), Pt at (0.0019, 0.5010, 0.5631), Pt at (0.1679, 0.3358, 0.3936) and Pb at (0.0000, 0.0000, 0.4961).

The total energy comes out at -310.57 eV per cell. The formation energy comes out at -0.7077 eV/atom. The value obtained for the size of the total moment is 15.7 μB/f.u.



## Pu2PtPb (PBE)

Data for a relaxed structure of Pu2PtPb.

The space group is P4/mmm (No. 123) and the conventional cell measures 4.504, 4.504 and 4.608 Å, with angles of 90.00, 90.00 and 90.00 degrees. The asymmetric unit holds Pu at (0.000, 0.500, 0.000), Pt at (0.000, 0.000, 0.500) and Pb at (0.500, 0.500, 0.500).

The total energy comes out at -39.88 eV per cell. The formation energy comes out at -0.3663 eV/atom. The value obtained for the size of the total moment is 11.3 μB/f.u.



## PuPtPb2 (PBE)

Data for a relaxed structure of PuPtPb2.

The space group is P4/mmm (No. 123) and the conventional cell measures 4.573, 4.573 and 4.672 Å, with angles of 90.00, 90.00 and 90.00 degrees. The asymmetric unit holds Pu at (0.000, 0.000, 0.000), Pt at (0.500, 0.500, 0.000) and Pb at (0.000, 0.500, 0.500).

As for the energy above the most stable polymorph in this dataset: 0 meV per atom. The total energy comes out at -28.56 eV per cell. The formation energy comes out at -0.1927 eV/atom. The value obtained for the size of the total moment is 5.6 μB/f.u.



## PuPt9Pb2 (PBE)

Data for a relaxed structure of PuPt9Pb2.

The space group is R-3m (No. 166, hexagonal axes) and the conventional cell measures 5.4432, 5.4432 and 26.6758 Å, with angles of 90.00, 90.00 and 120.00 degrees. The asymmetric unit holds Pu at (0.0000, 0.0000, 0.0000), Pt at (0.0000, 0.0000, 0.3328), Pt at (0.0000, 0.0000, 0.5000), Pt at (0.0025, 0.5013, 0.9166) and Pb at (0.0000, 0.0000, 0.1377).

The total energy comes out at -240.59 eV per cell. The formation energy comes out at -0.3400 eV/atom. The value obtained for the size of the total moment is 5.0 μB/f.u.



## Pu7Pt4Pb (PBE)

Data for a relaxed structure of Pu7Pt4Pb.

The space group is C2/m (No. 12) and the conventional cell measures 12.207, 5.839 and 9.500 Å, with angles of 90.00, 121.41 and 90.00 degrees. The asymmetric unit holds Pu at (0.000, 0.000, 0.000), Pu at (0.003, 0.500, 0.346), Pu at (0.210, 0.000, 0.630), Pu at (0.246, 0.500, 0.976), Pt at (0.012, 0.000, 0.706), Pt at (0.247, 0.000, 0.341) and Pb at (0.000, 0.500, 0.000).

The total energy comes out at -264.41 eV per cell. The formation energy comes out at -0.3341 eV/atom. The value obtained for the size of the total moment is 6.6 μB/f.u.